DFT (PBE-GGA) results for a geometry-optimized CeHo2Tm7 structure.

abc: 5.3049 9.3552 9.3552
angles: 125.14 90.00 90.00
With the nearest neighbours (Å) after each atom.
Atoms (fractional coordinates):
Ce  0.0000  0.0000  0.0000  10 Tm 3.34-3.57
Ho  0.5000  0.7023  0.2977  7 Tm 3.10-3.46
Ho  0.5000  0.2977  0.7023  7 Tm 3.10-3.46
Tm  0.0000  0.7992  0.2008  2 Ho 3.10, 1 Ce 3.34, 4 Tm 3.41
Tm  0.0000  0.2008  0.7992  2 Ho 3.10, 1 Ce 3.34, 4 Tm 3.41
Tm  0.5000  0.0660  0.2873  4 Tm 3.05-3.41, 1 Ho 3.18
Tm  0.5000  0.9340  0.7127  4 Tm 3.05-3.41, 1 Ho 3.18
Tm  0.5000  0.2873  0.0660  4 Tm 3.05-3.41, 1 Ho 3.18
Tm  0.5000  0.7127  0.9340  4 Tm 3.05-3.41, 1 Ho 3.18
Tm  0.5000  0.5000  0.5000  4 Tm 3.34, 2 Ho 3.36

**Symmetry**: Cmmm, No. 65
**ΔH_f (0 K)**: 0.743 eV per atom
**V**: 37.97 Å³ per atom
**Crystal system**: orthorhombic
**Total moment**: 1.20 μB per formula unit

---

DFT (PBE-GGA) results for a geometry-optimized CeHo2Tm structure.

abc: 3.3811 3.3811 12.3495
angles: 82.13 82.13 60.00
With the nearest neighbours (Å) after each atom.
Atoms (fractional coordinates):
Tm  0.5000  0.5000  0.5000  6 Tm 3.38, 6 Ho 3.44
Ho  0.0891  0.0891  0.7327  1 Ce 3.26, 6 Ho 3.38, 3 Tm 3.44
Ho  0.9109  0.9109  0.2673  1 Ce 3.26, 6 Ho 3.38, 3 Tm 3.44
Ce  0.0000  0.0000  0.0000  2 Ho 3.26, 6 Ce 3.38

**Symmetry**: R-3m, No. 166
**ΔH_f (0 K)**: 0.169 eV per atom
**V**: 30.18 Å³ per atom
**Crystal system**: trigonal
**Distance to the lowest polymorph of the same formula**: 2.63 kcal/mol of atoms
**Total moment**: 0.66 μB per formula unit

---

DFT (PBE-GGA) results for a geometry-optimized CeHo2Tm6 structure.

abc: 6.0878 6.0878 17.7308
angles: 111.05 111.05 92.55
With the nearest neighbours (Å) after each atom.
Atoms (fractional coordinates):
Ce  0.9767  0.0233  0.2500  2 Ho 3.17, 2 Tm 3.45
Ce  0.0233  0.9767  0.7500  2 Ho 3.17, 2 Tm 3.45
Ho  0.4328  0.4212  0.3136  1 Ho 3.08, 1 Ce 3.17, 5 Tm 3.23-3.39
Ho  0.5788  0.5672  0.1864  1 Ho 3.08, 1 Ce 3.17, 5 Tm 3.23-3.39
Ho  0.5672  0.5788  0.6864  1 Ho 3.08, 1 Ce 3.17, 5 Tm 3.23-3.39
Ho  0.4212  0.4328  0.8136  1 Ho 3.08, 1 Ce 3.17, 5 Tm 3.23-3.39
Tm  0.2394  0.3069  0.4773  1 Ho 3.23, 7 Tm 3.35-3.59, 1 Ce 3.45
Tm  0.6931  0.7606  0.0227  1 Ho 3.23, 7 Tm 3.35-3.59, 1 Ce 3.45
Tm  0.7606  0.6931  0.5227  1 Ho 3.23, 7 Tm 3.35-3.59, 1 Ce 3.45
Tm  0.3069  0.2394  0.9773  1 Ho 3.23, 7 Tm 3.35-3.59, 1 Ce 3.45
Tm  0.0152  0.6218  0.8857  3 Ho 3.25-3.51, 5 Tm 3.31-3.59
Tm  0.3782  0.9848  0.6143  3 Ho 3.25-3.51, 5 Tm 3.31-3.59
Tm  0.9848  0.3782  0.1143  3 Ho 3.25-3.51, 5 Tm 3.31-3.59
Tm  0.6218  0.0152  0.3857  3 Ho 3.25-3.51, 5 Tm 3.31-3.59
Tm  0.3124  0.9593  0.1175  3 Ho 3.29-3.55, 5 Tm 3.31-3.56, 1 Ce 3.57
Tm  0.0407  0.6876  0.3826  3 Ho 3.29-3.55, 5 Tm 3.31-3.56, 1 Ce 3.57
Tm  0.6876  0.0407  0.8825  3 Ho 3.29-3.55, 5 Tm 3.31-3.56, 1 Ce 3.57
Tm  0.9593  0.3124  0.6174  3 Ho 3.29-3.55, 5 Tm 3.31-3.56, 1 Ce 3.57

**Symmetry**: C2/c, No. 15
**ΔH_f (0 K)**: 0.179 eV per atom
**V**: 31.16 Å³ per atom
**Crystal system**: monoclinic
**Distance to the lowest polymorph of the same formula**: 1.19 kcal/mol of atoms
**Total moment**: 0.83 μB per formula unit

---

DFT (PBE-GGA) results for a geometry-optimized Ce2Ho2Tm7 structure.

abc: 6.8630 7.3128 7.3128
angles: 96.95 76.67 76.67
With the nearest neighbours (Å) after each atom.
Atoms (fractional coordinates):
Ce  0.9368  0.3874  0.3874  1 Ce 2.61
Ce  0.0632  0.6126  0.6126  1 Ce 2.61
Ho  0.5000  0.1560  0.8440  6 Tm 3.29-3.48, 1 Ho 3.42
Ho  0.5000  0.8440  0.1560  6 Tm 3.29-3.48, 1 Ho 3.42
Tm  0.1913  0.0777  0.5738  1 Ce 3.17, 5 Tm 3.26-3.48, 2 Ho 3.29-3.31
Tm  0.8087  0.4262  0.9223  1 Ce 3.17, 5 Tm 3.26-3.48, 2 Ho 3.29-3.31
Tm  0.8087  0.9223  0.4262  1 Ce 3.17, 5 Tm 3.26-3.48, 2 Ho 3.29-3.31
Tm  0.1913  0.5738  0.0777  1 Ce 3.17, 5 Tm 3.26-3.48, 2 Ho 3.29-3.31
Tm  0.0000  0.0000  0.0000  4 Tm 3.26, 2 Ce 3.63
Tm  0.5080  0.6856  0.6856  3 Ce 3.33-3.63, 5 Tm 3.39-3.64, 2 Ho 3.48
Tm  0.4920  0.3144  0.3144  3 Ce 3.33-3.63, 5 Tm 3.39-3.64, 2 Ho 3.48

**Symmetry**: C2/m, No. 12
**ΔH_f (0 K)**: 0.243 eV per atom
**V**: 31.05 Å³ per atom
**Crystal system**: monoclinic
**Distance to the lowest polymorph of the same formula**: 0.83 kcal/mol of atoms
**Total moment**: 0.76 μB per formula unit

---

DFT (PBE-GGA) results for a geometry-optimized CeHo6Tm structure.

abc: 4.9780 4.9780 9.9477
angles: 90.00 90.00 90.00
With the nearest neighbours (Å) after each atom.
Atoms (fractional coordinates):
Ce  0.0000  0.0000  0.5000  12 Ho 3.52
Ho  0.5000  0.5000  0.0000  8 Ho 3.52, 4 Tm 3.52
Ho  0.5000  0.5000  0.5000  8 Ho 3.52, 4 Ce 3.52
Ho  0.5000  0.0000  0.2502  8 Ho 3.52, 2 Ce 3.52, 2 Tm 3.52
Ho  0.5000  0.0000  0.7498  8 Ho 3.52, 2 Ce 3.52, 2 Tm 3.52
Ho  0.0000  0.5000  0.2502  8 Ho 3.52, 2 Ce 3.52, 2 Tm 3.52
Ho  0.0000  0.5000  0.7498  8 Ho 3.52, 2 Ce 3.52, 2 Tm 3.52
Tm  0.0000  0.0000  0.0000  12 Ho 3.52

**Symmetry**: P4/mmm, No. 123
**ΔH_f (0 K)**: 0.046 eV per atom
**V**: 30.81 Å³ per atom
**Crystal system**: tetragonal
**Distance to the lowest polymorph of the same formula**: 0.00 kcal/mol of atoms
**Total moment**: 0.94 μB per formula unit

---

DFT (PBE-GGA) results for a geometry-optimized Ce2Ho4Tm3 structure.

abc: 5.9072 9.9568 9.9568
angles: 70.83 83.79 83.79
With the nearest neighbours (Å) after each atom.
Atoms (fractional coordinates):
Ce  0.2179  0.7126  0.4707  1 Ce 2.95
Ce  0.2821  0.5293  0.2874  1 Ce 2.95
Ce  0.7821  0.2874  0.5293  1 Ce 2.95
Ce  0.7179  0.4707  0.7126  1 Ce 2.95
Ho  0.5397  0.0424  0.8297  3 Ho 3.21-3.44, 4 Tm 3.40-3.46, 1 Ce 3.46
Ho  0.9603  0.1703  0.9576  3 Ho 3.21-3.44, 4 Tm 3.40-3.46, 1 Ce 3.46
Ho  0.4603  0.9576  0.1703  3 Ho 3.21-3.44, 4 Tm 3.40-3.46, 1 Ce 3.46
Ho  0.0397  0.8297  0.0424  3 Ho 3.21-3.44, 4 Tm 3.40-3.46, 1 Ce 3.46
Ho  0.6198  0.8272  0.6197  2 Ce 3.36-3.41, 5 Tm 3.38-3.64, 2 Ho 3.42-3.72
Ho  0.8802  0.3803  0.1728  2 Ce 3.36-3.41, 5 Tm 3.38-3.64, 2 Ho 3.42-3.72
Ho  0.3802  0.1728  0.3803  2 Ce 3.36-3.41, 5 Tm 3.38-3.64, 2 Ho 3.42-3.72
Ho  0.1198  0.6197  0.8272  2 Ce 3.36-3.41, 5 Tm 3.38-3.64, 2 Ho 3.42-3.72
Tm  0.0806  0.9829  0.6777  1 Ce 3.31, 7 Ho 3.38-3.46, 1 Tm 3.66
Tm  0.4194  0.3223  0.0171  1 Ce 3.31, 7 Ho 3.38-3.46, 1 Tm 3.66
Tm  0.9194  0.0171  0.3223  1 Ce 3.31, 7 Ho 3.38-3.46, 1 Tm 3.66
Tm  0.5806  0.6777  0.9829  1 Ce 3.31, 7 Ho 3.38-3.46, 1 Tm 3.66
Tm  0.2500  0.3515  0.6485  6 Ce 3.31-3.44, 4 Ho 3.40-3.64
Tm  0.7500  0.6485  0.3515  6 Ce 3.31-3.44, 4 Ho 3.40-3.64

**Symmetry**: C2/c, No. 15
**ΔH_f (0 K)**: 0.141 eV per atom
**V**: 30.46 Å³ per atom
**Crystal system**: monoclinic
**Total moment**: 1.76 μB per formula unit

---

DFT (PBE-GGA) results for a geometry-optimized CeHo4Tm7 structure.

abc: 5.8852 6.7781 11.4889
angles: 72.84 59.43 89.99
With the nearest neighbours (Å) after each atom.
Atoms (fractional coordinates):
Ce  0.0000  0.0000  0.0000  2 Tm 2.94
Ho  0.4726  0.5946  0.2737  1 Ho 3.14, 2 Tm 3.32-3.44, 1 Ce 3.47
Ho  0.5274  0.4054  0.7263  1 Ho 3.14, 2 Tm 3.32-3.44, 1 Ce 3.47
Ho  0.5273  0.8680  0.7263  1 Ho 3.14, 2 Tm 3.32-3.44, 1 Ce 3.47
Ho  0.4727  0.1320  0.2737  1 Ho 3.14, 2 Tm 3.32-3.44, 1 Ce 3.47
Tm  0.8285  0.5394  0.9210  3 Tm 3.24-3.29
Tm  0.1715  0.4606  0.0790  3 Tm 3.24-3.29
Tm  0.1221  0.1866  0.6263  5 Tm 3.43-3.77, 6 Ho 3.56-3.63, 1 Ce 3.77
Tm  0.8779  0.8134  0.3737  5 Tm 3.43-3.77, 6 Ho 3.56-3.63, 1 Ce 3.77
Tm  0.1837  0.7137  0.5721  5 Tm 3.24-3.49, 4 Ho 3.32-3.61
Tm  0.5000  0.0000  0.0000  2 Ce 2.94
Tm  0.8163  0.2863  0.4279  5 Tm 3.24-3.49, 4 Ho 3.32-3.61

**Symmetry**: C2/m, No. 12
**ΔH_f (0 K)**: 0.150 eV per atom
**V**: 30.89 Å³ per atom
**Crystal system**: monoclinic
**Distance to the lowest polymorph of the same formula**: 0.00 kcal/mol of atoms
**Total moment**: 1.40 μB per formula unit

---

DFT (PBE-GGA) results for a geometry-optimized CeHoTm structure.

abc: 3.4966 3.4966 7.8197
angles: 102.92 102.92 90.00
With the nearest neighbours (Å) after each atom.
Atoms (fractional coordinates):
Tm  0.6642  0.6642  0.3285  4 Ce 3.47, 4 Tm 3.50, 4 Ho 3.54
Ho  0.3353  0.3353  0.6707  4 Ce 3.48, 4 Ho 3.50, 4 Tm 3.54
Ce  0.0004  0.0004  0.0009  4 Tm 3.47, 4 Ho 3.48, 4 Ce 3.50

**Symmetry**: I4mm, No. 107
**ΔH_f (0 K)**: 0.073 eV per atom
**V**: 30.23 Å³ per atom
**Crystal system**: tetragonal
**Distance to the lowest polymorph of the same formula**: 0.28 kcal/mol of atoms
**Total moment**: 0.74 μB per formula unit

---

DFT (PBE-GGA) results for a geometry-optimized CeHoTm2 structure.

abc: 3.4931 3.4931 11.5955
angles: 81.34 81.34 60.00
With the nearest neighbours (Å) after each atom.
Atoms (fractional coordinates):
Ce  0.5007  0.5007  0.4980  6 Tm 3.49-3.53, 6 Ce 3.49
Ho  0.6662  0.6662  0.0015  6 Tm 3.47-3.49, 6 Ho 3.49
Tm  0.0828  0.0828  0.7516  6 Tm 3.49, 3 Ho 3.49, 3 Ce 3.53
Tm  0.2504  0.2504  0.2489  3 Ho 3.47, 3 Ce 3.49, 6 Tm 3.49

**Symmetry**: R3m, No. 160
**ΔH_f (0 K)**: 0.056 eV per atom
**V**: 30.17 Å³ per atom
**Crystal system**: trigonal
**Distance to the lowest polymorph of the same formula**: 0.07 kcal/mol of atoms
**Total moment**: 0.84 μB per formula unit

---

DFT (PBE-GGA) results for a geometry-optimized CeHoTm structure.

abc: 4.9439 4.9373 15.6367
angles: 90.01 108.43 90.00
With the nearest neighbours (Å) after each atom.
Atoms (fractional coordinates):
Ho  0.0860  0.7500  0.8360  4 Ce 3.46-3.47, 6 Tm 3.49-3.55, 2 Ho 3.55
Ho  0.0859  0.7500  0.3359  4 Ce 3.47, 6 Tm 3.49-3.55, 2 Ho 3.55
Ho  0.9140  0.2500  0.1640  4 Ce 3.46-3.47, 6 Tm 3.49-3.55, 2 Ho 3.55
Ho  0.9141  0.2500  0.6641  4 Ce 3.47, 6 Tm 3.49-3.55, 2 Ho 3.55
Ce  0.2499  0.2500  0.4999  4 Ho 3.47, 4 Tm 3.47, 4 Ce 3.49
Ce  0.2499  0.2500  0.9999  4 Ho 3.46-3.47, 4 Tm 3.47, 4 Ce 3.49
Ce  0.7501  0.7500  0.5001  4 Ho 3.47, 4 Tm 3.47, 4 Ce 3.49
Ce  0.7501  0.7500  0.0001  4 Ho 3.46-3.47, 4 Tm 3.47, 4 Ce 3.49
Tm  0.4145  0.7500  0.6646  4 Ce 3.47, 6 Ho 3.49-3.55, 2 Tm 3.54
Tm  0.4144  0.7500  0.1644  4 Ce 3.47, 6 Ho 3.49-3.55, 2 Tm 3.54
Tm  0.5855  0.2500  0.3355  4 Ce 3.47, 6 Ho 3.49-3.55, 2 Tm 3.54
Tm  0.5856  0.2500  0.8356  4 Ce 3.47, 6 Ho 3.49-3.55, 2 Tm 3.54

**Symmetry**: Cmcm, No. 63
**ΔH_f (0 K)**: 0.072 eV per atom
**V**: 30.18 Å³ per atom
**Crystal system**: orthorhombic
**Distance to the lowest polymorph of the same formula**: 0.27 kcal/mol of atoms
**Total moment**: 0.64 μB per formula unit

---

The highest V belongs to which entry? CeHo2Tm7

---

What is the formula in the fifth record? CeHo6Tm

---

The lowest total moment belongs to which entry? number 10